5
Lattice="-0.191 -1.198 5.010 -2.202 -3.551 -0.933 4.417 -2.618 -0.458" Properties=species:S:1:pos:R:3 comment="Y2CoPIr (GGA-PBE, optimized geometry)" vol_a3_per_atom=22.8 sg=P4/mmm crystal_system=tetragonal n_ef_per_ev_atom=0.66 delta_e_f_ev_per_fu=-0.2 pbc="T T T"
Co 0.000 0.000 0.000
Y 2.208 -1.309 -0.229
P 1.012 -3.684 1.809
Ir -1.101 -1.776 -0.467
Y -0.095 -0.599 2.505